# PBEsol CoAuSe2N, relaxed
# **Crystal system**: tetragonal
# **V**: 98.09 Å³/f.u.
# **Formation energy without anion corrections**: 1.385 eV per atom
# **Total magnetic moment**: 2.64 μB/f.u.
# **Fermi-level density of states**: 5.487 states/eV/cell
data_CoAuSe2N
_symmetry_space_group_name_H-M 'P 4/m m m'
_symmetry_Int_Tables_number 123
_symmetry_space_group_name_Hall '-P 4 2'
_cell_length_a 5.182
_cell_length_b 5.182
_cell_length_c 3.653
_cell_angle_alpha 90.00
_cell_angle_beta 90.00
_cell_angle_gamma 90.00
loop_
_atom_site_label
_atom_site_type_symbol
_atom_site_fract_x
_atom_site_fract_y
_atom_site_fract_z
Co1 Co 0.000 0.000 0.000
Au1 Au 0.500 0.500 0.500
Se1 Se 0.000 0.500 0.500
N1 N 0.500 0.500 0.000

---

# PBEsol Nb2Co2Au, relaxed
# **Crystal system**: tetragonal
# **V**: 71.66 Å³/f.u.
# **Total magnetic moment**: 0.00 μB/f.u.
# **Fermi-level density of states**: 9.566 states/eV/cell
# **E_form**: -0.19 eV per atom
data_Nb2Co2Au
_symmetry_space_group_name_H-M 'P 4/m b m'
_symmetry_Int_Tables_number 127
_symmetry_space_group_name_Hall '-P 4 2ab'
_cell_length_a 6.863
_cell_length_b 6.863
_cell_length_c 3.043
_cell_angle_alpha 90.00
_cell_angle_beta 90.00
_cell_angle_gamma 90.00
loop_
_atom_site_label
_atom_site_type_symbol
_atom_site_fract_x
_atom_site_fract_y
_atom_site_fract_z
Nb1 Nb 0.171 0.329 0.000
Co1 Co 0.128 0.628 0.500
Au1 Au 0.000 0.000 0.500

---

# PBEsol NbCoNiAu2, relaxed
# **Crystal system**: tetragonal
# **V**: 106.36 Å³/f.u.
# **Total magnetic moment**: 1.09 μB/f.u.
# **Fermi-level density of states**: 8.604 states/eV/cell
# **E_form**: 1.68 eV per atom
data_NbCoNiAu2
_symmetry_space_group_name_H-M 'P 4/m m m'
_symmetry_Int_Tables_number 123
_symmetry_space_group_name_Hall '-P 4 2'
_cell_length_a 4.994
_cell_length_b 4.994
_cell_length_c 4.265
_cell_angle_alpha 90.00
_cell_angle_beta 90.00
_cell_angle_gamma 90.00
loop_
_atom_site_label
_atom_site_type_symbol
_atom_site_fract_x
_atom_site_fract_y
_atom_site_fract_z
Nb1 Nb 0.000 0.000 0.000
Co1 Co 0.000 0.000 0.500
Ni1 Ni 0.500 0.500 0.500
Au1 Au 0.000 0.500 0.000

---

# PBEsol CoNiAu, relaxed
# **Crystal system**: cubic
# **V**: 44.17 Å³/f.u.
# **Total magnetic moment**: 2.49 μB/f.u.
# **Fermi-level density of states**: 22.999 states/eV/cell
# **E_form**: 0.57 eV per atom
# **Excess energy over the best structure of this formula in the dataset**: 379.8 meV per atom
data_CoNiAu
_symmetry_space_group_name_H-M 'F -4 3 m'
_symmetry_Int_Tables_number 216
_symmetry_space_group_name_Hall 'F -4 2 3'
_cell_length_a 5.611
_cell_length_b 5.611
_cell_length_c 5.611
_cell_angle_alpha 90.00
_cell_angle_beta 90.00
_cell_angle_gamma 90.00
loop_
_atom_site_label
_atom_site_type_symbol
_atom_site_fract_x
_atom_site_fract_y
_atom_site_fract_z
Co1 Co 0.000 0.000 0.000
Ni1 Ni 0.250 0.250 0.750
Au1 Au 0.250 0.250 0.250

---

# PBEsol CoNi2Au, relaxed
# **Crystal system**: monoclinic
# **V**: 48.78 Å³/f.u.
# **Total magnetic moment**: 2.84 μB/f.u.
# **Fermi-level density of states**: 6.100 states/eV/cell
# **E_form**: 0.19 eV per atom
data_CoNi2Au
_symmetry_space_group_name_H-M 'P 1 2/m 1'
_symmetry_Int_Tables_number 10
_cell_length_a 4.408
_cell_length_b 2.634
_cell_length_c 4.442
_cell_angle_alpha 90.00
_cell_angle_beta 108.99
_cell_angle_gamma 90.00
loop_
_symmetry_equiv_pos_as_xyz
'x,y,z'
'-x,-y,-z'
'-x,y,-z'
'x,-y,z'
loop_
_atom_site_label
_atom_site_type_symbol
_atom_site_fract_x
_atom_site_fract_y
_atom_site_fract_z
Co1 Co 0.000 0.000 0.000
Ni1 Ni 0.500 0.000 0.500
Ni2 Ni 0.500 0.500 0.000
Au1 Au 0.000 0.500 0.500

---

# PBEsol CoNi6Au, relaxed
# **Crystal system**: orthorhombic
# **V**: 89.85 Å³/f.u.
# **Total magnetic moment**: 5.27 μB/f.u.
# **Fermi-level density of states**: 85.834 states/eV/cell
# **E_form**: 0.05 eV per atom
data_CoNi6Au
_symmetry_space_group_name_H-M 'C m m m'
_symmetry_Int_Tables_number 65
_symmetry_space_group_name_Hall '-C 2 2'
_cell_length_a 7.083
_cell_length_b 10.051
_cell_length_c 10.097
_cell_angle_alpha 90.00
_cell_angle_beta 90.00
_cell_angle_gamma 90.00
loop_
_atom_site_label
_atom_site_type_symbol
_atom_site_fract_x
_atom_site_fract_y
_atom_site_fract_z
Co1 Co 0.000 0.000 0.248
Co2 Co 0.000 0.251 0.000
Ni1 Ni 0.000 0.000 0.000
Ni2 Ni 0.000 0.000 0.500
Ni3 Ni 0.000 0.245 0.240
Ni4 Ni 0.000 0.500 0.000
Ni5 Ni 0.000 0.500 0.500
Ni6 Ni 0.240 0.123 0.368
Ni7 Ni 0.243 0.128 0.119
Au1 Au 0.000 0.254 0.500
Au2 Au 0.000 0.500 0.247

---

> Which of these has the highest total magnetic moment?

CoNi6Au

---

> Look up the Fermi-level density of states of the second one.

9.566 states/eV/cell

---

> Among the records above, which one has the lowest Fermi-level density of states?

CoAuSe2N

---

> What is the total magnetic moment in the second record?

0.00 μB/f.u.